1.
PBE-GGA Ac12PmRu7, relaxed; spin magnetization = 0.00 μB/f.u.; energy of formation from the pure elements = -152 meV/atom
1.0
9.368 -0.093 -0.140
-2.694 8.973 -0.140
-2.694 -3.585 8.227
Ac Pm Ru
12 1 7
Direct
0.927 0.315 0.779
0.685 0.221 0.073
0.451 0.156 0.376
0.844 0.624 0.549
0.221 0.073 0.685
0.624 0.549 0.844
0.376 0.451 0.156
0.779 0.927 0.315
0.156 0.376 0.451
0.549 0.844 0.624
0.315 0.779 0.927
0.073 0.685 0.221
0.000 0.000 0.000
0.982 0.647 0.873
0.353 0.127 0.018
0.127 0.018 0.353
0.500 0.500 0.500
0.873 0.982 0.647
0.647 0.873 0.982
0.018 0.353 0.127

2.
PBE-GGA Zr2MnIr, relaxed; spin magnetization = 3.62 μB/f.u.; energy of formation from the pure elements = 49 meV/atom
1.0
9.452 0.005 0.003
8.962 3.004 0.003
8.962 1.465 2.623
Ir Mn Zr
1 1 2
Direct
0.496 0.496 0.496
0.757 0.757 0.757
0.006 0.006 0.006
0.242 0.242 0.242